PBE+U SmCr3B4O12, relaxed; E = -161.98 eV/cell
1.0
6.1109 0.0084 0.0116
-1.4643 5.9329 0.0116
-1.4643 -1.8722 5.6297
Sm Cr B O
1 3 4 12
direct
0.0000 0.0000 0.0000
0.5542 0.4458 0.0000
0.4458 0.0000 0.5542
0.0000 0.5542 0.4458
0.9441 0.0559 0.5000
0.0559 0.5000 0.9441
0.5000 0.9441 0.0559
0.5000 0.5000 0.5000
0.5000 0.3558 0.6442
0.9109 0.5000 0.0891
0.0891 0.9109 0.5000
0.5000 0.0891 0.9109
0.3701 0.9692 0.2104
0.2104 0.3701 0.9692
0.9692 0.2104 0.3701
0.6299 0.7896 0.0308
0.0308 0.6299 0.7896
0.7896 0.0308 0.6299
0.6442 0.5000 0.3558
0.3558 0.6442 0.5000